(1)
The following is a DFT calculation (PBE) of an optimized crystal structure of NaAl2Hg.

Cell: 11.0668 11.0668 11.0668 Å, 158.60 158.60 30.44°
Fractional coordinates of all 8 atoms:
Na 0.0000 0.0000 0.0000
Na 0.7500 0.2500 0.5000
Al 0.1355 0.6250 0.0105
Al 0.3750 0.3855 0.5105
Al 0.6145 0.1250 0.9895
Al 0.8750 0.8645 0.4895
Hg 0.2500 0.7500 0.5000
Hg 0.5000 0.5000 0.0000

(2)
The following is a DFT calculation (PBE) of an optimized crystal structure of Na2AlHg.

Cell: 5.1912 5.1912 5.1912 Å, 60.00 60.00 60.00°
Fractional coordinates of all 4 atoms:
Na 0.2500 0.2500 0.2500
Na 0.7500 0.7500 0.7500
Al 0.0000 0.0000 0.0000
Hg 0.5000 0.5000 0.5000

(3)
The following is a DFT calculation (PBE) of an optimized crystal structure of Na5AlHg6.

Cell: 8.8462 8.8462 5.1521 Å, 106.90 106.90 117.43°
Fractional coordinates of all 12 atoms:
Na 0.0000 0.0000 0.0000
Na 0.1591 0.8409 0.5000
Na 0.3154 0.6846 0.0000
Na 0.6846 0.3154 0.0000
Na 0.8409 0.1591 0.5000
Al 0.5000 0.5000 0.5000
Hg 0.1162 0.4269 0.2721
Hg 0.2888 0.2888 0.7894
Hg 0.4269 0.1162 0.2721
Hg 0.5731 0.8838 0.7279
Hg 0.7112 0.7112 0.2106
Hg 0.8838 0.5731 0.7279

(4)
The following is a DFT calculation (PBE) of an optimized crystal structure of Na2AlHg8.

Cell: 4.7078 4.7078 12.4403 Å, 90.00 90.00 90.00°
Fractional coordinates of all 11 atoms:
Na 0.0000 0.0000 0.1837
Na 0.0000 0.0000 0.8163
Al 0.0000 0.0000 0.5000
Hg 0.0000 0.5000 0.0000
Hg 0.0000 0.5000 0.3676
Hg 0.0000 0.5000 0.6324
Hg 0.5000 0.0000 0.0000
Hg 0.5000 0.0000 0.3676
Hg 0.5000 0.0000 0.6324
Hg 0.5000 0.5000 0.1879
Hg 0.5000 0.5000 0.8121

(5)
The following is a DFT calculation (PBE) of an optimized crystal structure of NaAlHg3.

Cell: 5.4913 5.4913 5.4913 Å, 90.00 90.00 90.00°
Fractional coordinates of all 5 atoms:
Na 0.0000 0.0000 0.0000
Al 0.5000 0.5000 0.5000
Hg 0.0000 0.0000 0.5000
Hg 0.0000 0.5000 0.0000
Hg 0.5000 0.0000 0.0000

(6)
The following is a DFT calculation (PBE) of an optimized crystal structure of NaAlHg.

Cell: 5.8969 5.8969 5.8969 Å, 143.48 143.48 52.61°
Fractional coordinates of all 3 atoms:
Na 0.0000 0.0000 0.0000
Al 0.3011 0.3011 0.0000
Hg 0.6961 0.6961 0.0000

(7)
The following is a DFT calculation (PBE) of an optimized crystal structure of NaAlHg.

Cell: 4.5279 7.2374 7.2374 Å, 119.94 90.00 90.00°
Fractional coordinates of all 9 atoms:
Na 0.0000 0.0000 0.0000
Na 0.0000 0.4248 0.8488
Na 0.0000 0.8488 0.4248
Al 0.5000 0.1876 0.4245
Al 0.5000 0.4245 0.1876
Al 0.5000 0.6605 0.6605
Hg 0.0000 0.4231 0.4231
Hg 0.5000 0.0911 0.7592
Hg 0.5000 0.7592 0.0911

(8)
The following is a DFT calculation (PBE) of an optimized crystal structure of Na2AlHg2.

Cell: 8.8184 8.8184 3.2710 Å, 90.00 90.00 90.00°
Fractional coordinates of all 10 atoms:
Na 0.1366 0.3634 0.0000
Na 0.3634 0.8634 0.0000
Na 0.6366 0.1366 0.0000
Na 0.8634 0.6366 0.0000
Al 0.0000 0.0000 0.0000
Al 0.5000 0.5000 0.0000
Hg 0.1618 0.6618 0.5000
Hg 0.3382 0.1618 0.5000
Hg 0.6618 0.8382 0.5000
Hg 0.8382 0.3382 0.5000

Number 1: magnetic moment 0.0 μB per formula unit, formation enthalpy at 0 K 0.20 eV/atom. Number 2: magnetic moment 0.0 μB per formula unit, formation enthalpy at 0 K 0.09 eV/atom. Number 3: magnetic moment 0.0 μB per formula unit, formation enthalpy at 0 K -0.19 eV/atom. Number 4: magnetic moment 0.0 μB per formula unit, formation enthalpy at 0 K -0.11 eV/atom. Number 5: magnetic moment 0.0 μB per formula unit, formation enthalpy at 0 K 0.46 eV/atom. Number 6: magnetic moment 0.0 μB per formula unit, formation enthalpy at 0 K 0.03 eV/atom. Number 7: magnetic moment 0.0 μB per formula unit, formation enthalpy at 0 K -0.07 eV/atom. Number 8: magnetic moment 0.0 μB per formula unit, formation enthalpy at 0 K 0.06 eV/atom.